Entry 1:
This record from Alexandria describes a geometry-optimized NiTe2Mo structure. The functional is PBE.

POSCAR file:
```
NiTe2Mo
1.0
-1.901 -3.433 -0.111
0.518 -2.625 2.873
-5.903 0.884 4.545
Mo Te Ni
1 2 1
Direct
0.470 0.470 0.589
0.044 0.044 0.868
0.219 0.219 0.343
0.767 0.767 0.700
```

Calculated values
Uncorrected formation energy: -0.09 eV per atom
Raw total energy: -5.82 eV/atom
Magnetization: 0.00 μB per cell
ΔE to the lowest computed polymorph: 0.00 kcal/mol of atoms


Entry 2:
This record from Alexandria describes a geometry-optimized NiTe6Mo structure. The functional is PBE.

POSCAR file:
```
NiTe6Mo
1.0
-4.792 -2.956 -3.509
-5.224 -3.037 2.918
-6.634 2.591 -0.194
Te Ni Mo
6 1 1
Direct
0.720 0.060 0.803
0.954 0.552 0.282
0.046 0.448 0.718
0.583 0.222 0.283
0.417 0.778 0.717
0.280 0.940 0.197
0.000 0.000 0.000
0.500 0.500 0.500
```

Calculated values
Uncorrected formation energy: -0.02 eV per atom
Raw total energy: -4.45 eV/atom
Magnetization: 0.00 μB per cell


Entry 3:
This record from Alexandria describes a geometry-optimized NiTe2Mo structure. The functional is PBE.

POSCAR file:
```
NiTe2Mo
1.0
3.386 0.000 0.000
0.000 3.402 0.028
0.000 2.538 6.529
Mo Ni Te
1 1 2
Direct
0.500 0.250 0.250
0.500 0.750 0.750
0.000 0.575 0.500
0.000 0.925 0.000
```

Calculated values
Uncorrected formation energy: 0.22 eV per atom
Raw total energy: -5.50 eV/atom
Magnetization: 0.00 μB per cell
ΔE to the lowest computed polymorph: 7.31 kcal/mol of atoms


Entry 4:
This record from Alexandria describes a geometry-optimized NiTeMo2 structure. The functional is PBE.

POSCAR file:
```
NiTeMo2
1.0
3.438 0.000 0.000
0.000 4.140 0.000
0.000 0.000 4.547
Mo Te Ni
2 1 1
Direct
0.500 0.500 0.000
0.000 0.000 0.000
0.000 0.500 0.500
0.500 0.000 0.500
```

Calculated values
Uncorrected formation energy: 0.39 eV per atom
Raw total energy: -7.25 eV/atom
Magnetization: 0.00 μB per cell


- Which of these has the highest uncorrected formation energy?
  NiTeMo2